Entry from the Alexandria database: a geometry-optimized YCdInAg structure (GGA-PBE).

Summary:
SG: F-43m
ΔH_f (0 K), eV per atom: -0.30
E_tot, eV per atom: -3.54

Lattice parameters (Å, degrees): 5.0301 5.0301 5.0301 60.00 60.00 60.00
Fractional positions:
Cd (0.0000, 0.0000, 0.0000)
In (0.2500, 0.2500, 0.2500)
Ag (0.5000, 0.5000, 0.5000)
Y (0.7500, 0.7500, 0.7500)